No. 1
{"formula": "CeYH8Rh2", "functional": "GGA-PBE", "state": "optimized geometry", "total_energy_ev_per_fu": -57.50, "cell": [[4.8760, 0.0000, 0.0000], [2.4380, 4.2227, 0.0000], [2.4380, 1.4076, 5.9129]], "species": ["Y", "Rh", "H", "H", "H", "H", "Rh", "Ce", "H", "H", "H", "H"], "frac_coords": [[0.0000, 0.0000, 0.0000], [0.2652, 0.2652, 0.2045], [0.3878, 0.8871, 0.1773], [0.6122, 0.1129, 0.8227], [0.4523, 0.6122, 0.8227], [0.8260, 0.8260, 0.5219], [0.7348, 0.7348, 0.7955], [0.5000, 0.5000, 0.5000], [0.8871, 0.5477, 0.1773], [0.1129, 0.4523, 0.8227], [0.1740, 0.1740, 0.4781], [0.5477, 0.3878, 0.1773]]}


No. 2
{"formula": "FeB2Mo", "functional": "GGA-PBE", "state": "optimized geometry", "delta_e_f_ev_per_atom": -0.376, "total_energy_ev_per_fu": -34.15, "e_above_lowest_polymorph_mev_per_atom": 0.0, "cell": [[-1.4538, 1.4783, 2.2780], [-0.2467, -2.5848, 1.5199], [4.2913, -0.0188, 0.6645]], "species": ["B", "B", "Mo", "Fe"], "frac_coords": [[0.1403, 0.5000, 0.8190], [0.0149, 0.0000, 0.5691], [0.7300, 0.0000, 0.9985], [0.4459, 0.5000, 0.4315]]}


No. 3
{"formula": "YInP", "functional": "GGA-PBE", "state": "optimized geometry", "delta_e_f_ev_per_atom": -0.504, "total_energy_ev_per_fu": -16.12, "cell": [[0.0000, 2.7387, 5.6260], [2.2879, 0.0000, 5.6260], [2.2879, 2.7387, 0.0000]], "species": ["P", "In", "Y"], "frac_coords": [[0.3228, 0.3228, 0.6772], [0.9832, 0.9832, 0.0168], [0.6940, 0.6940, 0.3060]]}


No. 4
{"formula": "K2SrSnF", "functional": "GGA-PBE", "state": "optimized geometry", "formation_energy_uncorrected_mev_per_atom": -1236.5, "total_energy_ev_per_fu": -15.93, "cell": [[-4.1294, -0.8826, 3.2238], [-2.4476, -2.6910, -3.8719], [2.3236, -4.5883, 1.7201]], "species": ["F", "Sn", "Sr", "K", "K"], "frac_coords": [[0.0000, 0.0000, 0.0000], [0.5000, 0.5000, 0.5000], [0.0000, 0.0000, 0.5000], [0.5000, 0.0000, 0.0000], [0.0000, 0.5000, 0.0000]]}


No. 5
{"formula": "Sm5AlGa2", "functional": "GGA-PBE", "state": "optimized geometry", "delta_e_f_ev_per_atom": -0.396, "total_energy_ev_per_fu": -36.56, "cell": [[-2.0668, 0.1287, 7.5128], [4.3993, -6.2959, 1.3181], [4.5655, 7.4033, -2.9126]], "species": ["Ga", "Ga", "Al", "Sm", "Sm", "Al", "Ga", "Sm", "Sm", "Sm", "Ga", "Sm", "Sm", "Sm", "Sm", "Sm"], "frac_coords": [[0.6185, 0.1185, 0.0000], [0.8815, 0.6185, 0.0000], [0.2500, 0.2500, 0.5000], [0.5257, 0.6794, 0.7051], [0.6794, 0.1794, 0.7051], [0.7500, 0.7500, 0.5000], [0.3815, 0.8815, 0.0000], [0.5000, 0.5000, 0.0000], [0.3206, 0.8206, 0.2949], [0.4743, 0.3206, 0.2949], [0.1185, 0.3815, 0.0000], [0.1794, 0.0257, 0.7051], [0.0257, 0.5257, 0.7051], [0.8206, 0.9743, 0.2949], [0.0000, 0.0000, 0.0000], [0.9743, 0.4743, 0.2949]]}


No. 6
{"formula": "LaCr2Cu", "functional": "GGA-PBE", "state": "optimized geometry", "delta_e_f_ev_per_atom": 0.549, "total_energy_ev_per_fu": -26.08, "e_above_lowest_polymorph_mev_per_atom": 253.6, "cell": [[-1.6653, 1.6694, -2.2804], [-4.1363, -1.4944, 1.9266], [-0.0583, 3.8505, 2.8615]], "species": ["Cu", "Cr", "Cr", "La"], "frac_coords": [[0.5000, 0.0000, 0.5000], [0.0000, 0.0000, 0.0000], [0.5000, 0.5000, 0.0000], [0.0000, 0.5000, 0.5000]]}


No. 7
{"formula": "DyPa2Ni6", "functional": "GGA-PBE", "state": "optimized geometry", "delta_e_f_ev_per_atom": -0.289, "total_energy_ev_per_fu": -60.88, "e_above_lowest_polymorph_mev_per_atom": 53.6, "cell": [[3.4114, 0.0000, 0.0000], [1.7057, 7.2553, 1.1068], [1.7057, 3.1435, 6.6319]], "species": ["Pa", "Ni", "Ni", "Ni", "Dy", "Pa", "Ni", "Ni", "Ni"], "frac_coords": [[0.3561, 0.1439, 0.1439], [0.1774, 0.5162, 0.1291], [0.1774, 0.1291, 0.5162], [0.8226, 0.8709, 0.4838], [0.5000, 0.5000, 0.5000], [0.6439, 0.8561, 0.8561], [0.0000, 0.1769, 0.8231], [0.0000, 0.8231, 0.1769], [0.8226, 0.4838, 0.8709]]}


No. 8
{"formula": "MgMn2N", "functional": "GGA-PBE", "state": "optimized geometry", "formation_energy_uncorrected_mev_per_atom": 75.0, "total_energy_ev_per_fu": -27.96, "e_above_lowest_polymorph_mev_per_atom": 0.0, "cell": [[6.3220, 0.0000, 0.0000], [0.0000, 6.3220, 0.0000], [3.1610, 3.1610, 2.5502]], "species": ["N", "Mn", "Mg", "N", "Mn", "Mn", "Mn", "Mg"], "frac_coords": [[0.2500, 0.7500, 0.5000], [0.3750, 0.5029, 0.7500], [0.0000, 0.0000, 0.0000], [0.5000, 0.5000, 0.0000], [0.2529, 0.6250, 0.2500], [0.8750, 0.7471, 0.7500], [0.4971, 0.1250, 0.2500], [0.7500, 0.2500, 0.5000]]}